Material: CrCdCu2
Method: DFT, PBE
State: optimized geometry

a b c (Å): 2.717 2.717 7.607
angles (deg): 90.00 90.00 89.99
Fractional positions:
Cr 0.500 0.500 0.750
Cu 0.000 0.000 0.525
Cu 0.000 0.000 0.975
Cd 0.500 0.500 0.250

Calculated values
Energy in eV/atom: -4.363
Crystal system: tetragonal
Symmetry: P4/mmm (123)

Material: Rb2SnBr4
Method: DFT, PBE
State: optimized geometry

a b c (Å): 5.845 5.845 9.702
angles (deg): 72.47 72.47 90.00
Fractional positions:
Br 0.169 0.169 0.663
Br 0.500 0.000 0.000
Br 0.000 0.500 0.000
Br 0.831 0.831 0.337
Sn 0.000 0.000 0.000
Rb 0.639 0.639 0.722
Rb 0.361 0.361 0.278

Calculated values
Energy in eV/atom: -3.127
Crystal system: tetragonal
Symmetry: I4/mmm (139)
Formation energy from raw total energies in meV/atom: -1323

Material: BaLi2Ti6O14
Method: DFT, PBE
State: optimized geometry

a b c (Å): 10.130 10.130 11.684
angles (deg): 90.00 90.00 111.28
Fractional positions:
O 0.598 0.598 0.872
O 0.874 0.352 0.122
O 0.367 0.633 0.500
O 0.868 0.133 0.248
O 0.863 0.636 0.478
O 0.642 0.870 0.758
O 0.364 0.137 0.522
O 0.847 0.379 0.872
O 0.130 0.358 0.242
O 0.905 0.905 0.869
O 0.368 0.633 0.252
O 0.633 0.368 0.252
O 0.858 0.630 0.258
O 0.402 0.402 0.128
O 0.632 0.367 0.748
O 0.132 0.867 0.752
O 0.095 0.095 0.131
O 0.098 0.098 0.628
O 0.136 0.363 0.022
O 0.636 0.863 0.478
O 0.879 0.347 0.628
O 0.864 0.637 0.978
O 0.867 0.133 0.000
O 0.121 0.653 0.372
O 0.347 0.879 0.628
O 0.148 0.626 0.622
O 0.367 0.632 0.748
O 0.153 0.621 0.128
O 0.902 0.902 0.372
O 0.142 0.370 0.742
O 0.627 0.373 0.000
O 0.133 0.867 0.000
O 0.126 0.648 0.878
O 0.630 0.858 0.258
O 0.373 0.627 0.000
O 0.633 0.367 0.500
O 0.363 0.136 0.022
O 0.621 0.153 0.128
O 0.379 0.847 0.872
O 0.637 0.864 0.978
O 0.852 0.374 0.378
O 0.133 0.868 0.248
O 0.653 0.121 0.372
O 0.873 0.127 0.500
O 0.648 0.126 0.878
O 0.626 0.148 0.622
O 0.352 0.874 0.122
O 0.867 0.132 0.752
O 0.127 0.873 0.500
O 0.595 0.595 0.369
O 0.358 0.130 0.242
O 0.870 0.642 0.758
O 0.137 0.364 0.522
O 0.405 0.405 0.631
O 0.370 0.142 0.742
O 0.374 0.852 0.378
Ti 0.257 0.478 0.145
Ti 0.496 0.277 0.614
Ti 0.022 0.243 0.645
Ti 0.736 0.264 0.000
Ti 0.764 0.236 0.500
Ti 0.723 0.504 0.386
Ti 0.996 0.777 0.886
Ti 0.478 0.257 0.145
Ti 0.743 0.522 0.855
Ti 0.256 0.756 0.250
Ti 0.777 0.996 0.886
Ti 0.277 0.496 0.614
Ti 0.757 0.978 0.355
Ti 0.522 0.743 0.855
Ti 0.236 0.764 0.500
Ti 0.756 0.256 0.250
Ti 0.243 0.022 0.645
Ti 0.504 0.723 0.386
Ti 0.223 0.004 0.114
Ti 0.264 0.736 0.000
Ti 0.978 0.757 0.355
Ti 0.244 0.744 0.750
Ti 0.004 0.223 0.114
Ti 0.744 0.244 0.750
Li 0.065 0.444 0.380
Li 0.056 0.435 0.880
Li 0.556 0.935 0.620
Li 0.435 0.056 0.880
Li 0.935 0.556 0.620
Li 0.565 0.944 0.120
Li 0.944 0.565 0.120
Li 0.444 0.065 0.380
Ba 0.643 0.643 0.119
Ba 0.143 0.143 0.381
Ba 0.357 0.357 0.881
Ba 0.857 0.857 0.619

Calculated values
Energy in eV/atom: -8.295
Crystal system: orthorhombic
Symmetry: Cmce (64)
Formation energy from raw total energies in meV/atom: -2967

Material: TaTlCr2
Method: DFT, PBE
State: optimized geometry

a b c (Å): 5.255 5.255 4.460
angles (deg): 64.87 64.87 35.10
Fractional positions:
Cr 0.026 0.026 0.974
Cr 0.727 0.727 0.773
Ta 0.484 0.484 0.516
Tl 0.263 0.263 0.237

Calculated values
Energy in eV/atom: -7.864
Crystal system: orthorhombic
Symmetry: Imm2 (44)